# RbFeNi3

A geometry-optimized RbFeNi3 structure (GGA-PBE, the Alexandria database).

Cell and atoms, written as extended XYZ:
```
5
Lattice="4.563 0.000 0.000 0.000 4.563 0.000 0.000 0.000 4.563" Properties=species:S:1:pos:R:3 pbc="T T T"
Rb 0.000 0.000 0.000
Fe 2.281 2.281 2.281
Ni 0.000 2.281 2.281
Ni 2.281 0.000 2.281
Ni 2.281 2.281 0.000
```

Results
Polymorph energy (0 for the lowest one) = 0 meV/atom
Crystal system = cubic
M_tot = 4.68 μB/cell
E_tot = -4.3937 eV per atom
Fermi-level density of states = 3.8 states/eV/cell

***

# Pm4Sn2TeSe

A geometry-optimized Pm4Sn2TeSe structure (GGA-PBE, the Alexandria database).

Cell and atoms, written as extended XYZ:
```
8
Lattice="7.670 0.000 0.000 0.000 4.410 0.000 -2.535 0.000 7.285" Properties=species:S:1:pos:R:3 pbc="T T T"
Pm 1.229 0.000 1.799
Pm -0.037 2.205 5.448
Pm 3.906 0.000 5.486
Pm 5.172 2.205 1.837
Sn 0.000 2.205 0.000
Sn 3.835 0.000 0.000
Te 2.568 2.205 3.642
Se -1.267 0.000 3.642
```

Results
Crystal system = monoclinic
M_tot = 0.00 μB/cell
E_tot = -5.3884 eV per atom
Formation energy without anion corrections = -1.18 eV/atom
Fermi-level density of states = 2.9 states/eV/cell

***

# RbNa2Li2

A geometry-optimized RbNa2Li2 structure (GGA-PBE, the Alexandria database).

Cell and atoms, written as extended XYZ:
```
10
Lattice="10.167 0.000 0.000 0.000 10.167 0.000 0.000 0.000 3.671" Properties=species:S:1:pos:R:3 pbc="T T T"
Rb 0.000 0.000 0.000
Rb 5.084 5.084 0.000
Na 1.748 3.336 1.835
Na 3.336 8.419 1.835
Na 6.832 1.748 1.835
Na 8.419 6.832 1.835
Li 1.136 6.220 0.000
Li 3.947 1.136 0.000
Li 6.220 9.031 0.000
Li 9.031 3.947 0.000
```

Results
Polymorph energy (0 for the lowest one) = 0 meV/atom
Crystal system = tetragonal
M_tot = 0.00 μB/cell
E_tot = -1.3800 eV per atom
Fermi-level density of states = 5.5 states/eV/cell

***

# MgZr3Nb

A geometry-optimized MgZr3Nb structure (GGA-PBE, the Alexandria database).

Cell and atoms, written as extended XYZ:
```
5
Lattice="5.147 0.000 0.000 0.000 5.147 0.000 0.000 0.000 5.147" Properties=species:S:1:pos:R:3 pbc="T T T"
Mg 0.000 0.000 0.000
Zr 0.000 2.574 2.574
Zr 2.574 0.000 2.574
Zr 2.574 2.574 0.000
Nb 2.574 2.574 2.574
```

Results
Polymorph energy (0 for the lowest one) = 0 meV/atom
Crystal system = cubic
M_tot = 0.00 μB/cell
E_tot = -6.6760 eV per atom
Fermi-level density of states = 9.2 states/eV/cell

***

# Dy8HoSc4

A geometry-optimized Dy8HoSc4 structure (GGA-PBE, the Alexandria database).

Cell and atoms, written as extended XYZ:
```
13
Lattice="3.493 2.017 9.152 -3.493 2.017 9.152 0.000 -4.033 9.152" Properties=species:S:1:pos:R:3 pbc="T T T"
Dy 0.000 0.000 5.852
Dy -1.885 -1.088 15.716
Dy 0.000 -2.177 11.739
Dy -1.885 1.088 11.739
Dy 1.885 -1.088 15.716
Dy 0.000 2.177 15.716
Dy 1.885 1.088 11.739
Dy 0.000 0.000 21.603
Ho 0.000 0.000 13.728
Sc 0.000 0.000 0.000
Sc -1.746 -1.008 9.152
Sc -1.746 1.008 18.303
Sc 0.000 2.017 9.152
```

Results
Crystal system = trigonal
M_tot = 0.00 μB/cell
E_tot = -4.8740 eV per atom
Fermi-level density of states = 16.0 states/eV/cell

***

# Ba2NpS3

A geometry-optimized Ba2NpS3 structure (GGA-PBE, the Alexandria database).

Cell and atoms, written as extended XYZ:
```
6
Lattice="3.063 -7.213 0.000 3.063 7.213 0.000 0.000 0.000 4.325" Properties=species:S:1:pos:R:3 pbc="T T T"
Ba 3.063 5.021 0.000
Ba 3.063 -5.021 0.000
Np 3.063 0.000 2.163
S 0.000 0.000 2.163
S 3.063 1.832 0.000
S 3.063 -1.832 0.000
```

Results
Crystal system = orthorhombic
M_tot = 4.81 μB/cell
E_tot = -6.4344 eV per atom
Formation energy without anion corrections = -1.57 eV/atom
Fermi-level density of states = 11.8 states/eV/cell

***

# Pm2YH4

A geometry-optimized Pm2YH4 structure (GGA-PBE, the Alexandria database).

Cell and atoms, written as extended XYZ:
```
7
Lattice="-2.020 2.020 6.674 2.020 -2.020 6.674 2.020 2.020 -6.674" Properties=species:S:1:pos:R:3 pbc="T T T"
Pm 0.000 0.000 2.204
Pm 0.000 0.000 11.144
Y 0.000 0.000 6.674
H 2.020 0.000 0.000
H 0.000 0.000 4.476
H 0.000 2.020 0.000
H 0.000 0.000 8.872
```

Results
Crystal system = tetragonal
M_tot = 0.00 μB/cell
E_tot = -4.4670 eV per atom
Fermi-level density of states = 4.9 states/eV/cell

***

# Ag2TeCl

A geometry-optimized Ag2TeCl structure (GGA-PBE, the Alexandria database).

Cell and atoms, written as extended XYZ:
```
4
Lattice="0.000 3.559 3.559 3.559 0.000 3.559 3.559 3.559 0.000" Properties=species:S:1:pos:R:3 pbc="T T T"
Ag 1.779 1.779 1.779
Ag 5.338 5.338 5.338
Te 0.000 0.000 0.000
Cl 3.559 3.559 3.559
```

Results
Polymorph energy (0 for the lowest one) = 301 meV/atom
Crystal system = cubic
M_tot = 0.85 μB/cell
E_tot = -2.5646 eV per atom
Formation energy without anion corrections = 0.11 eV/atom
Fermi-level density of states = 6.0 states/eV/cell

***

# CdBrO2

A geometry-optimized CdBrO2 structure (GGA-PBE, the Alexandria database).

Cell and atoms, written as extended XYZ:
```
8
Lattice="2.121 -8.770 0.000 2.121 8.770 0.000 0.000 0.000 4.188" Properties=species:S:1:pos:R:3 pbc="T T T"
Cd 2.121 7.517 3.141
Cd 2.121 -7.517 1.047
Br 2.121 3.303 3.141
Br 2.121 -3.303 1.047
O 2.121 7.699 1.047
O 2.121 5.048 3.141
O 2.121 -5.048 1.047
O 2.121 -7.699 3.141
```

Results
Polymorph energy (0 for the lowest one) = 361 meV/atom
Crystal system = orthorhombic
M_tot = 0.00 μB/cell
E_tot = -3.2064 eV per atom
Formation energy without anion corrections = -0.08 eV/atom
Fermi-level density of states = 4.0 states/eV/cell

***

# Tb6SmY12

A geometry-optimized Tb6SmY12 structure (GGA-PBE, the Alexandria database).

Cell and atoms, written as extended XYZ:
```
19
Lattice="5.959 3.441 5.107 -5.959 3.441 5.107 0.000 -6.881 5.107" Properties=species:S:1:pos:R:3 pbc="T T T"
Tb -2.388 -2.509 7.856
Tb -3.367 0.814 7.464
Tb 0.979 -3.323 7.464
Tb -0.979 3.323 7.856
Tb 3.367 -0.814 7.856
Tb 2.388 2.509 7.464
Sm 0.000 0.000 7.660
Y -1.387 -5.350 6.410
Y -5.327 -1.474 8.910
Y -0.912 -1.861 4.736
Y -3.940 3.876 6.410
Y -1.156 1.720 4.736
Y 2.068 0.141 4.736
Y -2.068 -0.141 10.584
Y 1.156 -1.720 10.584
Y 3.940 -3.876 8.910
Y 0.912 1.861 10.584
Y 5.327 1.474 6.410
Y 1.387 5.350 8.910
```

Results
Polymorph energy (0 for the lowest one) = 129 meV/atom
Crystal system = trigonal
M_tot = 0.01 μB/cell
E_tot = -5.6432 eV per atom
Fermi-level density of states = 32.7 states/eV/cell

***

# MgZn2Au

A geometry-optimized MgZn2Au structure (GGA-PBE, the Alexandria database).

Cell and atoms, written as extended XYZ:
```
8
Lattice="4.066 0.000 0.000 0.000 7.663 0.000 -2.005 0.000 4.658" Properties=species:S:1:pos:R:3 pbc="T T T"
Mg 0.008 1.916 0.625
Mg 2.053 5.747 4.033
Zn 0.019 0.424 3.437
Zn 0.019 3.407 3.437
Zn 2.043 4.255 1.221
Zn 2.043 7.239 1.221
Au 0.014 5.747 2.115
Au 2.047 1.916 2.542
```

Results
Crystal system = monoclinic
M_tot = 0.00 μB/cell
E_tot = -2.1190 eV per atom
Fermi-level density of states = 2.4 states/eV/cell

***

# BaRhCl2

A geometry-optimized BaRhCl2 structure (GGA-PBE, the Alexandria database).

Cell and atoms, written as extended XYZ:
```
4
Lattice="4.316 0.000 0.000 0.000 4.316 0.000 0.000 0.000 6.051" Properties=species:S:1:pos:R:3 pbc="T T T"
Ba 0.000 0.000 0.000
Rh 2.158 2.158 4.249
Cl 0.000 0.000 3.125
Cl 2.158 2.158 0.583
```

Results
Polymorph energy (0 for the lowest one) = 256 meV/atom
Crystal system = tetragonal
M_tot = 1.00 μB/cell
E_tot = -4.0705 eV per atom
Formation energy without anion corrections = -0.83 eV/atom
Fermi-level density of states = 4.8 states/eV/cell